No. 1
First-principles (PBE) data for a relaxed structure of LaTh2UAs4, as listed in Alexandria.

## Properties
Crystal system   tetragonal
Magnetic moment   2.6 μB per formula unit
ΔE_f   -1.257 eV per atom

Cell: 6.000 6.000 7.346 Å, 114.10 114.10 90.00°
Atoms (fractional coordinates):
As (0.995, 0.495, 0.990)
As (0.505, 0.005, 0.010)
As (0.248, 0.248, 0.496)
As (0.752, 0.752, 0.504)
U (0.750, 0.250, 0.500)
Th (0.250, 0.750, 0.500)
Th (0.000, 0.000, 0.000)
La (0.500, 0.500, 0.000)



No. 2
First-principles (PBE) data for a relaxed structure of La3Th2UAs6, as listed in Alexandria.

## Properties
Crystal system   monoclinic
Magnetic moment   2.6 μB per formula unit
ΔE_f   -1.376 eV per atom

Cell: 4.272 8.598 9.602 Å, 103.43 102.85 90.00°
Atoms (fractional coordinates):
As (0.331, 0.421, 0.662)
As (0.669, 0.579, 0.338)
As (0.662, 0.085, 0.324)
As (0.999, 0.763, 0.998)
As (0.001, 0.237, 0.002)
As (0.338, 0.915, 0.676)
La (0.168, 0.833, 0.335)
La (0.832, 0.167, 0.665)
La (0.500, 0.500, 0.000)
Th (0.165, 0.332, 0.331)
Th (0.835, 0.668, 0.669)
U (0.500, 0.000, 0.000)



> Which formula does entry 1 have?

LaTh2UAs4



> Which of these has the highest ΔE_f?

LaTh2UAs4



> The highest ΔE_f belongs to which entry?

LaTh2UAs4